No. 1
VASP calculation (PBE) on an optimized crystal structure of TlAgPb.

As for the formation energy: 0.233 eV/f.u. As for the crystal system: triclinic. The size of the total moment is 0.0 μB per formula unit.

Lattice parameters (Å, degrees): 3.779 6.107 7.491 77.62 76.31 74.49
Space group P1 (No. 1)
One atom of each set of equivalent atoms:
Tl1 0.000 0.000 0.000 x1
Tl2 0.241 0.086 0.402 x1
Ag1 0.701 0.857 0.716 x1
Ag2 0.956 0.651 0.383 x1
Pb1 0.413 0.427 0.694 x1
Pb2 0.652 0.512 0.097 x1

No. 2
VASP calculation (PBE) on an optimized crystal structure of U3Ga2Ru4.

As for the formation energy: -2.971 eV/f.u. As for the crystal system: monoclinic. The size of the total moment is 0.9 μB per formula unit.

Lattice parameters (Å, degrees): 8.462 4.508 8.666 90.00 90.56 90.00
Space group C2/m (No. 12)
One atom of each set of equivalent atoms:
U1 0.000 0.000 0.000 x2
U2 0.126 0.500 0.585 x4
Ga1 0.180 0.500 0.214 x4
Ru1 0.093 0.000 0.357 x4
Ru2 0.211 0.500 0.908 x4